(1)
# MgCdTc | Alexandria | PBE-GGA | optimized geometry
# ΔE to the lowest computed polymorph: 0.000 eV per atom
# calculated formation energy: 0.10 eV per atom
data_MgCdTc
_cell_length_a 4.264
_cell_length_b 2.975
_cell_length_c 10.779
_cell_angle_alpha 115.52
_cell_angle_beta 113.32
_cell_angle_gamma 89.95
_space_group_name_H-M_alt 'P 1'
_space_group_IT_number 1
_space_group_name_Hall 'P 1'
loop_
_atom_site_label
_atom_site_type_symbol
_atom_site_fract_x
_atom_site_fract_y
_atom_site_fract_z
Tc1 Tc 0.686 0.846 0.436
Tc2 Tc 0.314 0.154 0.564
Mg1 Mg 0.031 0.155 0.280
Mg2 Mg 0.969 0.845 0.720
Cd1 Cd 0.653 0.604 0.903
Cd2 Cd 0.347 0.396 0.097

(2)
Entry from Alexandria: a geometry-optimized NpS2F5 structure (PBE-GGA).

```
data_NpS2F5
_cell_length_a 4.513
_cell_length_b 6.843
_cell_length_c 6.844
_cell_angle_alpha 82.72
_cell_angle_beta 70.73
_cell_angle_gamma 70.73
_space_group_name_H-M_alt 'P 1'
_space_group_IT_number 1
_space_group_name_Hall 'P 1'
loop_
_atom_site_label
_atom_site_type_symbol
_atom_site_fract_x
_atom_site_fract_y
_atom_site_fract_z
Np1 Np 0.964 0.000 0.000
S1 S 0.677 0.500 0.500
S2 S 0.259 0.500 0.500
F1 F 0.809 0.997 0.315
F2 F 0.120 0.685 0.003
F3 F 0.809 0.315 0.997
F4 F 0.120 0.003 0.685
F5 F 0.464 0.000 0.000
```

(3)
# La4Pr3Ho4 | Alexandria | PBE-GGA | optimized geometry
# ΔE to the lowest computed polymorph: 0.000 eV per atom
# calculated formation energy: 0.02 eV per atom
data_La4Pr3Ho4
_cell_length_a 3.670
_cell_length_b 5.173
_cell_length_c 20.277
_cell_angle_alpha 97.31
_cell_angle_beta 95.17
_cell_angle_gamma 90.04
_space_group_name_H-M_alt 'P 1'
_space_group_IT_number 1
_space_group_name_Hall 'P 1'
loop_
_atom_site_label
_atom_site_type_symbol
_atom_site_fract_x
_atom_site_fract_y
_atom_site_fract_z
La1 La 0.546 0.546 0.093
La2 La 0.454 0.454 0.907
La3 La 0.817 0.817 0.633
La4 La 0.183 0.183 0.367
Pr1 Pr 0.637 0.636 0.274
Pr2 Pr 0.363 0.364 0.726
Pr3 Pr 0.000 0.000 0.000
Ho1 Ho 0.092 0.092 0.185
Ho2 Ho 0.272 0.272 0.543
Ho3 Ho 0.728 0.728 0.457
Ho4 Ho 0.908 0.908 0.815

(4)
# SrTc3Au | Alexandria | PBE-GGA | optimized geometry
# ΔE to the lowest computed polymorph: 1.165 eV per atom
# calculated formation energy: 2.90 eV per atom
data_SrTc3Au
_cell_length_a 4.756
_cell_length_b 4.756
_cell_length_c 4.756
_cell_angle_alpha 90.00
_cell_angle_beta 90.00
_cell_angle_gamma 90.00
_space_group_name_H-M_alt 'P 1'
_space_group_IT_number 1
_space_group_name_Hall 'P 1'
loop_
_atom_site_label
_atom_site_type_symbol
_atom_site_fract_x
_atom_site_fract_y
_atom_site_fract_z
Sr1 Sr 0.000 0.000 0.000
Au1 Au 0.500 0.500 0.500
Tc1 Tc 0.000 0.500 0.000
Tc2 Tc 0.000 0.000 0.500
Tc3 Tc 0.500 0.000 0.000

(5)
Entry from Alexandria: a geometry-optimized CrS structure (PBE-GGA).

```
data_CrS
_cell_length_a 10.281
_cell_length_b 10.281
_cell_length_c 3.528
_cell_angle_alpha 90.00
_cell_angle_beta 90.00
_cell_angle_gamma 90.00
_space_group_name_H-M_alt 'P 1'
_space_group_IT_number 1
_space_group_name_Hall 'P 1'
loop_
_atom_site_label
_atom_site_type_symbol
_atom_site_fract_x
_atom_site_fract_y
_atom_site_fract_z
Cr1 Cr 0.788 0.402 0.500
Cr2 Cr 0.212 0.598 0.500
Cr3 Cr 0.598 0.788 0.500
Cr4 Cr 0.402 0.212 0.500
Cr5 Cr 0.885 0.563 0.000
Cr6 Cr 0.115 0.437 0.000
Cr7 Cr 0.437 0.885 0.000
Cr8 Cr 0.563 0.115 0.000
S1 S 0.758 0.624 0.500
S2 S 0.242 0.376 0.500
S3 S 0.376 0.758 0.500
S4 S 0.624 0.242 0.500
S5 S 0.914 0.340 0.000
S6 S 0.086 0.660 0.000
S7 S 0.660 0.914 0.000
S8 S 0.340 0.086 0.000
```

(6)
# CeMg3Ga4 | Alexandria | PBE-GGA | optimized geometry
# calculated formation energy: -0.28 eV per atom
data_CeMg3Ga4
_cell_length_a 4.772
_cell_length_b 7.152
_cell_length_c 9.545
_cell_angle_alpha 90.00
_cell_angle_beta 90.00
_cell_angle_gamma 90.00
_space_group_name_H-M_alt 'P 1'
_space_group_IT_number 1
_space_group_name_Hall 'P 1'
loop_
_atom_site_label
_atom_site_type_symbol
_atom_site_fract_x
_atom_site_fract_y
_atom_site_fract_z
Mg1 Mg 0.000 0.000 0.000
Mg2 Mg 0.000 0.000 0.500
Mg3 Mg 0.501 0.000 0.750
Mg4 Mg 0.499 0.000 0.250
Mg5 Mg 0.501 0.500 0.750
Mg6 Mg 0.499 0.500 0.250
Ga1 Ga 0.500 0.770 0.000
Ga2 Ga 0.500 0.770 0.500
Ga3 Ga 0.500 0.230 0.000
Ga4 Ga 0.500 0.230 0.500
Ga5 Ga 0.001 0.770 0.750
Ga6 Ga 0.999 0.770 0.250
Ga7 Ga 0.999 0.230 0.250
Ga8 Ga 0.001 0.230 0.750
Ce1 Ce 0.000 0.500 0.000
Ce2 Ce 0.000 0.500 0.500

(7)
# Lu2ScPb | Alexandria | PBE-GGA | optimized geometry
# ΔE to the lowest computed polymorph: 0.396 eV per atom
# calculated formation energy: 0.17 eV per atom
data_Lu2ScPb
_cell_length_a 3.382
_cell_length_b 3.382
_cell_length_c 11.726
_cell_angle_alpha 81.71
_cell_angle_beta 81.71
_cell_angle_gamma 60.00
_space_group_name_H-M_alt 'P 1'
_space_group_IT_number 1
_space_group_name_Hall 'P 1'
loop_
_atom_site_label
_atom_site_type_symbol
_atom_site_fract_x
_atom_site_fract_y
_atom_site_fract_z
Pb1 Pb 0.500 0.500 0.500
Sc1 Sc 0.000 0.000 0.000
Lu1 Lu 0.090 0.090 0.729
Lu2 Lu 0.910 0.910 0.271

(8)
# K2FeAs | Alexandria | PBE-GGA | optimized geometry
# calculated formation energy: 0.19 eV per atom
data_K2FeAs
_cell_length_a 5.325
_cell_length_b 7.341
_cell_length_c 8.891
_cell_angle_alpha 31.41
_cell_angle_beta 90.00
_cell_angle_gamma 90.00
_space_group_name_H-M_alt 'P 1'
_space_group_IT_number 1
_space_group_name_Hall 'P 1'
loop_
_atom_site_label
_atom_site_type_symbol
_atom_site_fract_x
_atom_site_fract_y
_atom_site_fract_z
As1 As 0.500 0.250 0.250
Fe1 Fe 0.500 0.750 0.750
K1 K 0.000 0.705 0.032
K2 K 0.000 0.795 0.468

For the records above, the corresponding ρ values read 7.0; 3.5; 7.2; 8.9; 3.0; 5.0; 8.7; 1.9 g cm⁻³.
For the records above, the corresponding E_tot values read -4.196; -6.128; -4.738; -4.307; -7.279; -3.133; -4.600; -3.636 eV per atom.